[1]
VASP calculation (GGA-PBE) on crystalline Li2Ca2Ir at its relaxed geometry.

* space-group type: P-1
* formation enthalpy at 0 K: -14.1 kJ/mol of atoms
* distance to the lowest polymorph of the same formula: 0.00 eV per formula unit

Unit cell a=4.178 b=5.710 c=11.031 alpha=82.91 beta=79.10 gamma=68.73
Fractional positions:
Li 0.031 0.326 0.109
Li 0.194 0.660 0.453
Li 0.806 0.340 0.547
Li 0.969 0.674 0.891
Ca 0.304 0.740 0.153
Ca 0.495 0.849 0.662
Ca 0.505 0.151 0.338
Ca 0.696 0.260 0.847
Ir 0.182 0.449 0.688
Ir 0.818 0.551 0.312

=====

[2]
VASP calculation (GGA-PBE) on crystalline Pr6SmHg5 at its relaxed geometry.

* space-group type: Cmmm
* formation enthalpy at 0 K: -33.4 kJ/mol of atoms

Unit cell a=8.786 b=8.786 c=7.816 alpha=90.00 beta=90.00 gamma=143.92
Fractional positions:
Pr 0.000 0.000 0.227
Pr 0.000 0.000 0.773
Pr 0.326 0.674 0.252
Pr 0.326 0.674 0.748
Pr 0.674 0.326 0.252
Pr 0.674 0.326 0.748
Sm 0.500 0.500 0.500
Hg 0.151 0.849 0.500
Hg 0.168 0.832 0.000
Hg 0.500 0.500 0.000
Hg 0.832 0.168 0.000
Hg 0.849 0.151 0.500

=====

[3]
VASP calculation (GGA-PBE) on crystalline Ce3Pm4TmS8 at its relaxed geometry.

* space-group type: R-3m
* formation energy without anion corrections: -2.028 eV per atom

Unit cell a=8.007 b=8.007 c=8.007 alpha=60.10 beta=60.10 gamma=60.10
Fractional positions:
Ce 0.000 0.500 0.500
Ce 0.500 0.000 0.500
Ce 0.500 0.500 0.000
Pm 0.000 0.000 0.500
Pm 0.000 0.500 0.000
Pm 0.500 0.000 0.000
Pm 0.500 0.500 0.500
Tm 0.000 0.000 0.000
S 0.244 0.244 0.756
S 0.244 0.756 0.244
S 0.244 0.756 0.756
S 0.250 0.250 0.250
S 0.750 0.750 0.750
S 0.756 0.244 0.244
S 0.756 0.244 0.756
S 0.756 0.756 0.244

=====

[4]
VASP calculation (GGA-PBE) on crystalline CdTe at its relaxed geometry.

* space-group type: P4/mmm
* formation energy without anion corrections: -0.034 eV per atom

Unit cell a=4.109 b=4.109 c=5.353 alpha=90.00 beta=90.00 gamma=90.00
Fractional positions:
Cd 0.000 0.000 0.000
Te 0.500 0.500 0.000

=====

[5]
VASP calculation (GGA-PBE) on crystalline MnOsAu2 at its relaxed geometry.

* space-group type: Cmmm
* formation enthalpy at 0 K: 51.1 kJ/mol of atoms
* distance to the lowest polymorph of the same formula: 1.23 eV per formula unit

Unit cell a=2.768 b=2.768 c=9.652 alpha=90.00 beta=90.00 gamma=118.04
Fractional positions:
Mn 0.000 0.000 0.000
Os 0.000 0.000 0.500
Au 0.500 0.500 0.241
Au 0.500 0.500 0.759

=====

[6]
VASP calculation (GGA-PBE) on crystalline AsPRh at its relaxed geometry.

* space-group type: Cm
* formation enthalpy at 0 K: -16.9 kJ/mol of atoms
* distance to the lowest polymorph of the same formula: 1.17 eV per formula unit

Unit cell a=4.350 b=4.350 c=4.896 alpha=100.08 beta=100.08 gamma=38.61
Fractional positions:
As 0.000 0.000 0.000
P 0.202 0.202 0.396
Rh 0.923 0.923 0.476

=====

[7]
VASP calculation (GGA-PBE) on crystalline ScCuRh2 at its relaxed geometry.

* space-group type: Pmm2
* formation enthalpy at 0 K: -34.1 kJ/mol of atoms

Unit cell a=2.890 b=3.865 c=5.411 alpha=90.00 beta=90.00 gamma=90.00
Fractional positions:
Sc 0.000 0.000 0.000
Cu 0.500 0.500 0.274
Rh 0.000 0.000 0.493
Rh 0.500 0.500 0.752

=====

[8]
VASP calculation (GGA-PBE) on crystalline Th4NpS5 at its relaxed geometry.

* space-group type: I4/m
* formation energy without anion corrections: -1.748 eV per atom

Unit cell a=6.964 b=6.964 c=6.964 alpha=99.59 beta=99.59 gamma=131.81
Fractional positions:
Th 0.099 0.699 0.797
Th 0.301 0.099 0.400
Th 0.699 0.901 0.600
Th 0.901 0.301 0.203
Np 0.500 0.500 0.000
S 0.000 0.000 0.000
S 0.206 0.401 0.606
S 0.401 0.794 0.195
S 0.599 0.206 0.805
S 0.794 0.599 0.394